# 1
# GGA-PBE SrSb2Pb, optimized geometry
# Uncorrected formation energy: -0.29 eV per atom
# Calculated density: 7.00 Mg/m³
# Crystal system: orthorhombic
# DOS(E_F): 3.348 states/eV/cell
data_SrSb2Pb
_cell_length_a 3.8298
_cell_length_b 3.8298
_cell_length_c 8.7113
_cell_angle_alpha 90.00
_cell_angle_beta 90.00
_cell_angle_gamma 89.77
_symmetry_space_group_name_H-M 'P 1'
_symmetry_Int_Tables_number 1
loop_
_symmetry_equiv_pos_as_xyz
'x,y,z'
loop_
_atom_site_label
_atom_site_type_symbol
_atom_site_fract_x
_atom_site_fract_y
_atom_site_fract_z
Sb1 Sb 0.0000 0.0000 0.5081
Sb2 Sb 0.0000 0.0000 0.9919
Sr1 Sr 0.5000 0.5000 0.2500
Pb1 Pb 0.5000 0.5000 0.7500

***

# 2
# GGA-PBE NbCo2SiPt, optimized geometry
# Uncorrected formation energy: 1.39 eV per atom
# Calculated density: 7.40 Mg/m³
# Crystal system: tetragonal
# DOS(E_F): 4.654 states/eV/cell
data_NbCo2SiPt
_cell_length_a 4.4232
_cell_length_b 4.9740
_cell_length_c 4.4232
_cell_angle_alpha 90.00
_cell_angle_beta 90.00
_cell_angle_gamma 90.00
_symmetry_space_group_name_H-M 'P 1'
_symmetry_Int_Tables_number 1
loop_
_symmetry_equiv_pos_as_xyz
'x,y,z'
loop_
_atom_site_label
_atom_site_type_symbol
_atom_site_fract_x
_atom_site_fract_y
_atom_site_fract_z
Nb1 Nb 0.0000 0.0000 0.0000
Co1 Co 0.5000 0.0000 0.0000
Co2 Co 0.0000 0.0000 0.5000
Si1 Si 0.5000 0.5000 0.5000
Pt1 Pt 0.0000 0.5000 0.0000

***

# 3
# GGA-PBE CuNiOs, optimized geometry
# Offset from the most stable computed form: 15 meV/atom
# ΔE_f: 0.161 eV/atom
# Calculated density: 13.86 Mg/m³
# Crystal system: monoclinic
# DOS(E_F): 7.523 states/eV/cell
data_CuNiOs
_cell_length_a 5.2114
_cell_length_b 3.6836
_cell_length_c 8.2352
_cell_angle_alpha 90.00
_cell_angle_beta 108.68
_cell_angle_gamma 90.00
_symmetry_space_group_name_H-M 'P 1'
_symmetry_Int_Tables_number 1
loop_
_symmetry_equiv_pos_as_xyz
'x,y,z'
loop_
_atom_site_label
_atom_site_type_symbol
_atom_site_fract_x
_atom_site_fract_y
_atom_site_fract_z
Cu1 Cu 0.3749 0.0000 0.2781
Cu2 Cu 0.3749 0.5000 0.7781
Cu3 Cu 0.6780 0.5000 0.4442
Cu4 Cu 0.6780 0.0000 0.9442
Ni1 Ni 0.5305 0.5000 0.1063
Ni2 Ni 0.5305 0.0000 0.6063
Ni3 Ni 0.8575 0.5000 0.7755
Ni4 Ni 0.8575 0.0000 0.2755
Os1 Os 0.1730 0.5000 0.4430
Os2 Os 0.0336 0.0000 0.6126
Os3 Os 0.0336 0.5000 0.1126
Os4 Os 0.1730 0.0000 0.9430

***

# 4
# GGA-PBE BaLi2Te, optimized geometry
# Uncorrected formation energy: -0.66 eV per atom
# Calculated density: 3.79 Mg/m³
# Crystal system: trigonal
# DOS(E_F): 1.221 states/eV/cell
data_BaLi2Te
_cell_length_a 7.3323
_cell_length_b 7.3323
_cell_length_c 7.3323
_cell_angle_alpha 36.06
_cell_angle_beta 36.06
_cell_angle_gamma 36.06
_symmetry_space_group_name_H-M 'P 1'
_symmetry_Int_Tables_number 1
loop_
_symmetry_equiv_pos_as_xyz
'x,y,z'
loop_
_atom_site_label
_atom_site_type_symbol
_atom_site_fract_x
_atom_site_fract_y
_atom_site_fract_z
Li1 Li 0.9576 0.9576 0.9576
Li2 Li 0.5424 0.5424 0.5424
Te1 Te 0.2500 0.2500 0.2500
Ba1 Ba 0.7500 0.7500 0.7500

***

# 5
# GGA-PBE Ga2TeMoRu, optimized geometry
# Uncorrected formation energy: 1.08 eV per atom
# Calculated density: 6.29 Mg/m³
# Crystal system: tetragonal
# DOS(E_F): 7.205 states/eV/cell
data_Ga2TeMoRu
_cell_length_a 4.8885
_cell_length_b 5.1230
_cell_length_c 4.8885
_cell_angle_alpha 90.00
_cell_angle_beta 90.00
_cell_angle_gamma 90.00
_symmetry_space_group_name_H-M 'P 1'
_symmetry_Int_Tables_number 1
loop_
_symmetry_equiv_pos_as_xyz
'x,y,z'
loop_
_atom_site_label
_atom_site_type_symbol
_atom_site_fract_x
_atom_site_fract_y
_atom_site_fract_z
Te1 Te 0.0000 0.5000 0.0000
Ga1 Ga 0.0000 0.0000 0.5000
Ga2 Ga 0.5000 0.0000 0.0000
Mo1 Mo 0.0000 0.0000 0.0000
Ru1 Ru 0.5000 0.5000 0.5000

***

# 6
# GGA-PBE Pm5CoNi4, optimized geometry
# ΔE_f: -0.205 eV/atom
# Calculated density: 8.14 Mg/m³
# Crystal system: tetragonal
# DOS(E_F): 7.863 states/eV/cell
data_Pm5CoNi4
_cell_length_a 3.4435
_cell_length_b 3.4435
_cell_length_c 17.5242
_cell_angle_alpha 90.00
_cell_angle_beta 90.00
_cell_angle_gamma 90.00
_symmetry_space_group_name_H-M 'P 1'
_symmetry_Int_Tables_number 1
loop_
_symmetry_equiv_pos_as_xyz
'x,y,z'
loop_
_atom_site_label
_atom_site_type_symbol
_atom_site_fract_x
_atom_site_fract_y
_atom_site_fract_z
Ni1 Ni 0.0000 0.0000 0.7996
Ni2 Ni 0.0000 0.0000 0.3998
Ni3 Ni 0.0000 0.0000 0.6002
Ni4 Ni 0.0000 0.0000 0.2004
Pm1 Pm 0.5000 0.5000 0.7004
Pm2 Pm 0.5000 0.5000 0.9014
Pm3 Pm 0.5000 0.5000 0.0986
Pm4 Pm 0.5000 0.5000 0.5000
Pm5 Pm 0.5000 0.5000 0.2996
Co1 Co 0.0000 0.0000 0.0000

***

# 7
# GGA-PBE YCo13, optimized geometry
# ΔE_f: -0.042 eV/atom
# Calculated density: 8.11 Mg/m³
# Crystal system: cubic
# DOS(E_F): 32.931 states/eV/cell
data_YCo13
_cell_length_a 7.9122
_cell_length_b 7.9122
_cell_length_c 7.9122
_cell_angle_alpha 60.00
_cell_angle_beta 60.00
_cell_angle_gamma 60.00
_symmetry_space_group_name_H-M 'P 1'
_symmetry_Int_Tables_number 1
loop_
_symmetry_equiv_pos_as_xyz
'x,y,z'
loop_
_atom_site_label
_atom_site_type_symbol
_atom_site_fract_x
_atom_site_fract_y
_atom_site_fract_z
Co1 Co 0.5584 0.4416 0.2028
Co2 Co 0.5000 0.5000 0.5000
Co3 Co 0.7028 0.9416 0.0584
Co4 Co 0.5584 0.7972 0.4416
Co5 Co 0.2028 0.4416 0.7972
Co6 Co 0.2028 0.7972 0.5584
Co7 Co 0.0584 0.2972 0.7028
Co8 Co 0.9416 0.7028 0.2972
Co9 Co 0.4416 0.5584 0.7972
Co10 Co 0.2972 0.7028 0.0584
Co11 Co 0.2972 0.9416 0.7028
Co12 Co 0.0584 0.7028 0.9416
Co13 Co 0.0584 0.9416 0.2972
Co14 Co 0.9416 0.0584 0.7028
Co15 Co 0.2028 0.5584 0.4416
Co16 Co 0.7028 0.0584 0.2972
Co17 Co 0.4416 0.7972 0.2028
Co18 Co 0.4416 0.2028 0.5584
Co19 Co 0.7972 0.4416 0.5584
Co20 Co 0.7972 0.5584 0.2028
Co21 Co 0.0000 0.0000 0.0000
Co22 Co 0.2972 0.0584 0.9416
Co23 Co 0.5584 0.2028 0.7972
Co24 Co 0.9416 0.2972 0.0584
Co25 Co 0.7028 0.2972 0.9416
Co26 Co 0.7972 0.2028 0.4416
Y1 Y 0.7500 0.7500 0.7500
Y2 Y 0.2500 0.2500 0.2500

***

# 8
# GGA-PBE FeRe2Pd, optimized geometry
# Offset from the most stable computed form: 0 meV/atom
# ΔE_f: 0.131 eV/atom
# Calculated density: 15.72 Mg/m³
# Crystal system: trigonal
# DOS(E_F): 3.787 states/eV/cell
data_FeRe2Pd
_cell_length_a 2.7118
_cell_length_b 2.7118
_cell_length_c 9.0057
_cell_angle_alpha 81.34
_cell_angle_beta 81.34
_cell_angle_gamma 60.00
_symmetry_space_group_name_H-M 'P 1'
_symmetry_Int_Tables_number 1
loop_
_symmetry_equiv_pos_as_xyz
'x,y,z'
loop_
_atom_site_label
_atom_site_type_symbol
_atom_site_fract_x
_atom_site_fract_y
_atom_site_fract_z
Re1 Re 0.7448 0.7448 0.7655
Re2 Re 0.2552 0.2552 0.2345
Pd1 Pd 0.5000 0.5000 0.5000
Fe1 Fe 0.0000 0.0000 0.0000

***

# 9
# GGA-PBE BaCa3Pt, optimized geometry
# Offset from the most stable computed form: 46 meV/atom
# ΔE_f: -0.416 eV/atom
# Calculated density: 3.87 Mg/m³
# Crystal system: monoclinic
# DOS(E_F): 14.836 states/eV/cell
data_BaCa3Pt
_cell_length_a 14.7247
_cell_length_b 10.3177
_cell_length_c 10.3177
_cell_angle_alpha 82.48
_cell_angle_beta 124.81
_cell_angle_gamma 55.19
_symmetry_space_group_name_H-M 'P 1'
_symmetry_Int_Tables_number 1
loop_
_symmetry_equiv_pos_as_xyz
'x,y,z'
loop_
_atom_site_label
_atom_site_type_symbol
_atom_site_fract_x
_atom_site_fract_y
_atom_site_fract_z
Ca1 Ca 0.5675 0.7339 0.6353
Ca2 Ca 0.1368 0.5584 0.5735
Ca3 Ca 0.5290 0.3948 0.6880
Ca4 Ca 0.9710 0.1880 0.8948
Ca5 Ca 0.3632 0.0735 0.0584
Ca6 Ca 0.6368 0.9265 0.9416
Ca7 Ca 0.9325 0.1353 0.2339
Ca8 Ca 0.4710 0.6052 0.3120
Ca9 Ca 0.4325 0.2661 0.3647
Ca10 Ca 0.0290 0.8120 0.1052
Ca11 Ca 0.0675 0.8647 0.7661
Ca12 Ca 0.8632 0.4416 0.4265
Pt1 Pt 0.7500 0.5557 0.0557
Pt2 Pt 0.2500 0.4443 0.9443
Pt3 Pt 0.2500 0.8532 0.3532
Pt4 Pt 0.7500 0.1468 0.6468
Ba1 Ba 0.3868 0.7822 0.8075
Ba2 Ba 0.1132 0.3075 0.2822
Ba3 Ba 0.6132 0.2178 0.1925
Ba4 Ba 0.8868 0.6925 0.7178

***

# 10
# GGA-PBE Sm3BeP2Pt9, optimized geometry
# ΔE_f: -0.769 eV/atom
# Calculated density: 13.18 Mg/m³
# Crystal system: trigonal
# DOS(E_F): 3.830 states/eV/cell
data_Sm3BeP2Pt9
_cell_length_a 6.3147
_cell_length_b 6.3147
_cell_length_c 8.3088
_cell_angle_alpha 90.00
_cell_angle_beta 90.00
_cell_angle_gamma 120.00
_symmetry_space_group_name_H-M 'P 1'
_symmetry_Int_Tables_number 1
loop_
_symmetry_equiv_pos_as_xyz
'x,y,z'
loop_
_atom_site_label
_atom_site_type_symbol
_atom_site_fract_x
_atom_site_fract_y
_atom_site_fract_z
P1 P 0.6667 0.3333 0.8086
P2 P 0.3333 0.6667 0.1914
Pt1 Pt 0.7099 0.8549 0.3021
Pt2 Pt 0.8549 0.7099 0.6979
Pt3 Pt 0.1451 0.8549 0.3021
Pt4 Pt 0.5000 0.5000 0.0000
Pt5 Pt 0.1451 0.2901 0.3021
Pt6 Pt 0.0000 0.5000 0.0000
Pt7 Pt 0.5000 0.0000 0.0000
Pt8 Pt 0.2901 0.1451 0.6979
Pt9 Pt 0.8549 0.1451 0.6979
Be1 Be 0.0000 0.0000 0.5000
Sm1 Sm 0.0000 0.0000 0.0000
Sm2 Sm 0.6667 0.3333 0.3546
Sm3 Sm 0.3333 0.6667 0.6454